1.
# Ge3BiN

A PBEsol-optimized structure of Ge3BiN (meta-GGA SCAN, Alexandria via LeMat-Bulk).

Crystal system = cubic
Raw total energy = -26.937 eV/atom
Uncorrected formation energy = 10.4 eV/f.u.

Lattice parameters (Å, degrees): 5.503 5.503 5.503 90.00 90.00 90.00
Space group Pm-3m (No. 221)
Inequivalent atoms, fractional coordinates:
Ge  0.000  0.000  0.500 [3 per cell]
Bi  0.000  0.000  0.000 [1 per cell]
N  0.500  0.500  0.500 [1 per cell]

2.
# GeBiSeN2

A PBEsol-optimized structure of GeBiSeN2 (meta-GGA SCAN, Alexandria via LeMat-Bulk).

Crystal system = tetragonal
Raw total energy = -25.686 eV/atom
Uncorrected formation energy = 7.9 eV/f.u.

Lattice parameters (Å, degrees): 4.246 4.246 5.629 90.00 90.00 90.00
Space group P4/mmm (No. 123)
Inequivalent atoms, fractional coordinates:
Ge  0.000  0.000  0.000 [1 per cell]
Bi  0.500  0.500  0.500 [1 per cell]
Se  0.500  0.500  0.000 [1 per cell]
N  0.000  0.500  0.500 [2 per cell]

3.
# RbNaGeBi2

A PBEsol-optimized structure of RbNaGeBi2 (meta-GGA SCAN, Alexandria via LeMat-Bulk).

Crystal system = tetragonal
Raw total energy = -40.061 eV/atom
Energy of formation from the pure elements = 86.4 kJ/mol of formula units

Lattice parameters (Å, degrees): 5.627 5.627 6.075 90.00 90.00 90.00
Space group P4/mmm (No. 123)
Inequivalent atoms, fractional coordinates:
Rb  0.000  0.000  0.000 [1 per cell]
Na  0.500  0.500  0.000 [1 per cell]
Ge  0.000  0.000  0.500 [1 per cell]
Bi  0.000  0.500  0.500 [2 per cell]

4.
# Ge3Bi2O9

A PBEsol-optimized structure of Ge3Bi2O9 (meta-GGA SCAN, Alexandria via LeMat-Bulk).

Crystal system = hexagonal
Raw total energy = -20.895 eV/atom
Uncorrected formation energy = -22.0 eV/f.u.

Lattice parameters (Å, degrees): 6.9146 6.9146 9.9805 90.00 90.00 120.00
Space group P6_3/m (No. 176)
Inequivalent atoms, fractional coordinates:
Ge  0.0735  0.2948  0.2500 [6 per cell]
Bi  0.3333  0.6667  0.5312 [4 per cell]
O  0.0657  0.2721  0.7500 [6 per cell]
O  0.0710  0.4287  0.1027 [12 per cell]

Which formula does entry 4 have?
Ge3Bi2O9

Among the records above, which one has the lowest raw total energy?
RbNaGeBi2